1.
Computed, not measured: a relaxed CsMnNb2Os crystal at the PBE level of DFT.

Output
D(E_F)   6.033 states/eV/f.u.
Total moment   0.0 μB per formula unit
E_tot   -34.06 eV/cell
DFT formation energy   7.33 eV/f.u.

a = 4.8162 Å, b = 4.6415 Å, c = 4.8162 Å
α = 90.00°, β = 90.00°, γ = 90.00°
Closest atoms and distances in Å follow each position.
Sites, in units of the cell vectors:
Cs1 0.5000 0.5000 0.5000  8 Nb 3.34, 4 Os 3.41
Nb1 0.0000 0.0000 0.5000  2 Mn 2.41
Nb2 0.5000 0.0000 0.0000  2 Mn 2.41
Mn1 0.0000 0.0000 0.0000  2 Os 2.32, 4 Nb 2.41
Os1 0.0000 0.5000 0.0000  2 Mn 2.32

***

2.
Computed, not measured: a relaxed Cs2MnNbS4 crystal at the PBE level of DFT.

Output
D(E_F)   4.571 states/eV/f.u.
Total moment   4.0 μB per formula unit
E_tot   -45.19 eV/cell
Raw formation energy   -0.967 eV per atom

a = 7.0521 Å, b = 7.0521 Å, c = 7.0521 Å
α = 95.00°, β = 117.15°, γ = 117.15°
Closest atoms and distances in Å follow each position.
Sites, in units of the cell vectors:
Cs1 0.5000 0.7500 0.2500  4 S 3.53
Cs2 0.0000 0.0000 0.0000  8 S 3.65-4.00
Mn1 0.5000 0.2500 0.7500  4 S 2.36
Nb1 0.0000 0.5000 0.5000  4 S 2.33
S1 0.6464 0.3923 0.5204  1 Nb 2.33, 1 Mn 2.36
S2 0.1281 0.2540 0.6076  1 Nb 2.33, 1 Mn 2.36
S3 0.8719 0.4796 0.1259  1 Nb 2.33, 1 Mn 2.36
S4 0.3536 0.8741 0.7460  1 Nb 2.33, 1 Mn 2.36

***

3.
Computed, not measured: a relaxed Cs2MnNbSb crystal at the PBE level of DFT.

Output
D(E_F)   7.642 states/eV/f.u.
Total moment   7.7 μB per formula unit
E_tot   -19.25 eV/cell
Raw formation energy   1.164 eV per atom

a = 6.3079 Å, b = 5.3137 Å, c = 6.3079 Å
α = 90.00°, β = 90.00°, γ = 90.00°
Closest atoms and distances in Å follow each position.
Sites, in units of the cell vectors:
Cs1 0.0000 0.0000 0.5000  2 Nb 3.15
Cs2 0.5000 0.0000 0.0000  2 Nb 3.15
Sb1 0.0000 0.5000 0.0000  2 Nb 2.66
Nb1 0.0000 0.0000 0.0000  2 Sb 2.66
Mn1 0.5000 0.5000 0.5000  8 Cs 4.12, 4 Sb 4.46

***

4.
Computed, not measured: a relaxed CsTaMnNb2 crystal at the PBE level of DFT.

Output
D(E_F)   6.419 states/eV/f.u.
Total moment   2.8 μB per formula unit
E_tot   -33.85 eV/cell
DFT formation energy   8.16 eV/f.u.

a = 5.0515 Å, b = 5.0110 Å, c = 5.0515 Å
α = 90.00°, β = 90.00°, γ = 90.00°
Closest atoms and distances in Å follow each position.
Sites, in units of the cell vectors:
Cs1 0.5000 0.5000 0.5000  8 Nb 3.56, 4 Mn 3.57
Nb1 0.0000 0.0000 0.5000  2 Ta 2.53
Nb2 0.5000 0.0000 0.0000  2 Ta 2.53
Mn1 0.0000 0.5000 0.0000  2 Ta 2.51
Ta1 0.0000 0.0000 0.0000  2 Mn 2.51, 4 Nb 2.53

***

5.
Computed, not measured: a relaxed CsY2MnNb crystal at the PBE level of DFT.

Output
D(E_F)   5.609 states/eV/f.u.
Total moment   5.6 μB per formula unit
E_tot   -26.10 eV/cell
DFT formation energy   6.93 eV/f.u.

a = 5.3021 Å, b = 5.7481 Å, c = 5.3021 Å
α = 90.00°, β = 90.00°, γ = 90.00°
Closest atoms and distances in Å follow each position.
Sites, in units of the cell vectors:
Cs1 0.0000 0.5000 0.0000  2 Mn 2.87
Y1 0.0000 0.0000 0.5000  2 Mn 2.65
Y2 0.5000 0.0000 0.0000  2 Mn 2.65
Nb1 0.5000 0.5000 0.5000  4 Cs 3.75, 8 Y 3.91
Mn1 0.0000 0.0000 0.0000  4 Y 2.65, 2 Cs 2.87

***

6.
Computed, not measured: a relaxed CsMnNbZn2 crystal at the PBE level of DFT.

Output
D(E_F)   6.937 states/eV/f.u.
Total moment   8.0 μB per formula unit
E_tot   -15.16 eV/cell
DFT formation energy   7.48 eV/f.u.

a = 5.2959 Å, b = 6.0323 Å, c = 5.2959 Å
α = 90.00°, β = 90.00°, γ = 90.00°
Closest atoms and distances in Å follow each position.
Sites, in units of the cell vectors:
Cs1 0.0000 0.5000 0.0000  2 Nb 3.02
Nb1 0.0000 0.0000 0.0000  4 Zn 2.65
Mn1 0.5000 0.5000 0.5000  4 Cs 3.74, 8 Zn 4.01
Zn1 0.0000 0.0000 0.5000  2 Nb 2.65
Zn2 0.5000 0.0000 0.0000  2 Nb 2.65

***

Question: Which value of total moment does entry 3 give?
Answer: 7.7 μB per formula unit

***

Question: The lowest D(E_F) belongs to which entry?
Answer: Cs2MnNbS4

***

Question: The highest D(E_F) belongs to which entry?
Answer: Cs2MnNbSb